First-principles (PBE) data for an optimized crystal structure of Mg3As2O8, as listed in Alexandria via LeMat-Bulk.

E	-6.162	eV per atom
formation energy (no corrections)	-2.028	eV per atom
space group	P2_1/c (14)

Cell lengths 5.3678, 8.4912, 9.1495 Å; angles 90.00, 119.91, 90.00 degrees
Fractional coordinates of all 26 atoms:
Mg (0.0000, 0.0000, 0.0000)
Mg (0.0000, 0.5000, 0.5000)
Mg (0.0061, 0.1430, 0.6039)
Mg (0.0061, 0.3570, 0.1039)
Mg (0.9939, 0.6430, 0.8961)
Mg (0.9939, 0.8570, 0.3961)
As (0.3437, 0.6961, 0.3019)
As (0.3437, 0.8039, 0.8019)
As (0.6563, 0.1961, 0.1981)
As (0.6563, 0.3039, 0.6981)
O (0.1662, 0.6250, 0.7386)
O (0.1662, 0.8750, 0.2386)
O (0.1992, 0.5650, 0.1374)
O (0.1992, 0.9350, 0.6374)
O (0.2579, 0.6483, 0.4544)
O (0.2579, 0.8517, 0.9544)
O (0.2924, 0.1982, 0.1168)
O (0.2924, 0.3018, 0.6168)
O (0.7076, 0.6982, 0.3832)
O (0.7076, 0.8018, 0.8832)
O (0.7421, 0.1483, 0.0456)
O (0.7421, 0.3517, 0.5456)
O (0.8008, 0.0650, 0.3626)
O (0.8008, 0.4350, 0.8626)
O (0.8338, 0.1250, 0.7614)
O (0.8338, 0.3750, 0.2614)



First-principles (PBE) data for an optimized crystal structure of SiRh2Cl, as listed in Alexandria via LeMat-Bulk.

E	-5.775	eV per atom
energy above the most stable polymorph in this dataset	160.9	meV per atom
formation energy (no corrections)	-0.282	eV per atom
space group	R-3m (166)

Cell lengths 2.9857, 2.9857, 23.0873 Å; angles 90.00, 90.00, 120.00 degrees
Fractional coordinates of all 12 atoms:
Si (0.0000, 0.0000, 0.0000)
Si (0.3333, 0.6667, 0.6667)
Si (0.6667, 0.3333, 0.3333)
Rh (0.0000, 0.0000, 0.2593)
Rh (0.0000, 0.0000, 0.7407)
Rh (0.3333, 0.6667, 0.4073)
Rh (0.3333, 0.6667, 0.9260)
Rh (0.6667, 0.3333, 0.0740)
Rh (0.6667, 0.3333, 0.5927)
Cl (0.0000, 0.0000, 0.5000)
Cl (0.3333, 0.6667, 0.1667)
Cl (0.6667, 0.3333, 0.8333)



First-principles (PBE) data for an optimized crystal structure of Al2IrOs, as listed in Alexandria via LeMat-Bulk.

E	-7.269	eV per atom
energy of formation	-0.3745	eV/atom
energy above the most stable polymorph in this dataset	330.6	meV per atom
space group	Amm2 (38)

Cell lengths 4.2025, 2.7453, 9.8436 Å; angles 90.00, 90.00, 90.00 degrees
Fractional coordinates of all 8 atoms:
Al (0.0000, 0.0000, 0.0000)
Al (0.0000, 0.5000, 0.5000)
Al (0.5000, 0.0000, 0.1626)
Al (0.5000, 0.5000, 0.6626)
Ir (0.0000, 0.0000, 0.7408)
Ir (0.0000, 0.5000, 0.2408)
Os (0.5000, 0.0000, 0.4213)
Os (0.5000, 0.5000, 0.9213)



First-principles (PBE) data for an optimized crystal structure of LiHPbAu2, as listed in Alexandria via LeMat-Bulk.

E	-3.140	eV per atom
space group	P4/mmm (123)

Cell lengths 4.2918, 4.2918, 4.4649 Å; angles 90.00, 90.00, 90.00 degrees
Fractional coordinates of all 5 atoms:
Li (0.0000, 0.0000, 0.0000)
H (0.0000, 0.0000, 0.5000)
Pb (0.5000, 0.5000, 0.0000)
Au (0.0000, 0.5000, 0.5000)
Au (0.5000, 0.0000, 0.5000)



First-principles (PBE) data for an optimized crystal structure of Zn6CuAu, as listed in Alexandria via LeMat-Bulk.

E	-1.909	eV per atom
energy of formation	-0.0316	eV/atom
energy above the most stable polymorph in this dataset	27.7	meV per atom
space group	R-3m (166)

Cell lengths 7.5979, 7.5979, 7.5979 Å; angles 33.31, 33.31, 33.31 degrees
Fractional coordinates of all 8 atoms:
Zn (0.1203, 0.1203, 0.1203)
Zn (0.2508, 0.2508, 0.2508)
Zn (0.3717, 0.3717, 0.3717)
Zn (0.6283, 0.6283, 0.6283)
Zn (0.7492, 0.7492, 0.7492)
Zn (0.8797, 0.8797, 0.8797)
Cu (0.0000, 0.0000, 0.0000)
Au (0.5000, 0.5000, 0.5000)



First-principles (PBE) data for an optimized crystal structure of Sc2PaGe, as listed in Alexandria via LeMat-Bulk.

E	-6.722	eV per atom
energy of formation	-0.0280	eV/atom
energy above the most stable polymorph in this dataset	233.3	meV per atom
space group	Fm-3m (225)

Cell lengths 6.9631, 6.9631, 6.9631 Å; angles 90.00, 90.00, 90.00 degrees
Fractional coordinates of all 16 atoms:
Sc (0.2500, 0.2500, 0.2500)
Sc (0.2500, 0.2500, 0.7500)
Sc (0.2500, 0.7500, 0.2500)
Sc (0.2500, 0.7500, 0.7500)
Sc (0.7500, 0.2500, 0.2500)
Sc (0.7500, 0.2500, 0.7500)
Sc (0.7500, 0.7500, 0.2500)
Sc (0.7500, 0.7500, 0.7500)
Pa (0.0000, 0.0000, 0.0000)
Pa (0.0000, 0.5000, 0.5000)
Pa (0.5000, 0.0000, 0.5000)
Pa (0.5000, 0.5000, 0.0000)
Ge (0.0000, 0.0000, 0.5000)
Ge (0.0000, 0.5000, 0.0000)
Ge (0.5000, 0.0000, 0.0000)
Ge (0.5000, 0.5000, 0.5000)